Entry 1:
Compound: PuNi2P2
Source: Alexandria
Functional: PBE
Structure: relaxed

Geometry as POSCAR:
```
PuNi2P2
1.0
5.987 0.062 -0.006
-1.972 5.654 -0.006
-2.003 -2.852 4.750
Pu Ni P
2 4 4
Cartesian
2.504 1.449 3.554
-0.492 1.415 1.185
-1.477 4.243 2.334
-0.489 1.420 4.709
3.489 -1.379 2.405
2.501 1.445 0.030
-1.061 -0.314 3.560
1.930 -0.286 1.185
0.082 3.151 3.554
3.073 3.179 1.179
```

Summary:
Total DFT energy (no corrections) in eV per atom: -8.051
Energy of formation in kJ/mol of formula units: -342


Entry 2:
Compound: Pu2Ni12P7
Source: Alexandria
Functional: PBE
Structure: relaxed

Geometry as POSCAR:
```
Pu2Ni12P7
1.0
-2.397 2.462 1.346
-6.865 -4.581 -3.850
2.656 -2.045 8.468
Pu Ni P
2 12 7
Cartesian
-1.116 -2.276 4.698
-5.491 -1.888 1.266
-4.721 -2.332 -1.616
-2.550 -2.136 1.891
-5.599 -4.893 1.502
-1.886 -1.831 7.580
-4.056 -2.027 4.073
-1.007 0.729 4.462
-0.670 -0.424 2.063
0.784 -1.876 7.306
-3.431 -4.559 4.707
-5.937 -3.740 3.902
-7.390 -2.288 -1.342
-3.176 0.395 1.257
-1.199 1.231 0.673
-5.895 -4.039 -0.589
-3.095 -1.491 -0.262
-3.879 -3.834 2.626
-0.712 -0.124 6.553
-3.512 -2.672 6.226
-2.728 -0.330 3.339
```

Summary:
Total DFT energy (no corrections) in eV per atom: -7.151
Energy of formation in kJ/mol of formula units: -1376